{
  "formula": "TiReSnIr",
  "functional": "GGA-PBE",
  "state": "relaxed",
  "n_ef_per_ev_atom": 0.104,
  "spacegroup": "No. 216",
  "formation_energy_ev_per_fu": -1.172,
  "rho_g_cm3": 14.1,
  "cell": [[0.0000, 3.1810, 3.1810], [3.1810, 0.0000, 3.1810], [3.1810, 3.1810, 0.0000]],
  "species": ["Ti", "Re", "Sn", "Ir"],
  "fractional_positions": [[0.0000, 0.0000, 0.0000], [0.2500, 0.2500, 0.2500], [0.5000, 0.5000, 0.5000], [0.7500, 0.7500, 0.7500]]
}

---

{
  "formula": "YReSnIr2",
  "functional": "GGA-PBE",
  "state": "relaxed",
  "n_ef_per_ev_atom": 1.014,
  "spacegroup": "No. 123",
  "formation_energy_ev_per_fu": 4.019,
  "rho_g_cm3": 10.7,
  "cell": [[4.7857, 0.0000, 0.0000], [0.0000, 4.7857, 0.0000], [0.0000, 0.0000, 5.2687]],
  "species": ["Y", "Re", "Sn", "Ir", "Ir"],
  "fractional_positions": [[0.0000, 0.0000, 0.0000], [0.0000, 0.0000, 0.5000], [0.5000, 0.5000, 0.0000], [0.0000, 0.5000, 0.5000], [0.5000, 0.0000, 0.5000]]
}